# 1
# Mo2IrRuN | Alexandria via LeMat-Bulk | PBE | relaxed
# DFT total energy = -9.727 eV per atom
# Calculated density = 12.37 Mg/m³
# Space group = No. 123
# Formation energy without anion corrections = -0.10 eV/atom
data_Mo2IrRuN
_symmetry_space_group_name_H-M 'P 1'
_symmetry_Int_Tables_number 1
_cell_length_a 4.081
_cell_length_b 4.081
_cell_length_c 4.022
_cell_angle_alpha 90.00
_cell_angle_beta 90.00
_cell_angle_gamma 90.00
loop_
_symmetry_equiv_pos_as_xyz
'x,y,z'
loop_
_atom_site_label
_atom_site_fract_x
_atom_site_fract_y
_atom_site_fract_z
Ir1 0.500 0.500 0.500
Ru1 0.000 0.000 0.500
N1 0.000 0.000 0.000
Mo1 0.000 0.500 0.000
Mo2 0.500 0.000 0.000



# 2
# MoIrS2N | Alexandria via LeMat-Bulk | PBE | relaxed
# Distance to the lowest polymorph of the same formula = 112 meV/atom
# DFT total energy = -6.361 eV per atom
# Calculated density = 7.23 Mg/m³
# Space group = No. 123
# Formation energy without anion corrections = 0.89 eV/atom
data_MoIrS2N
_symmetry_space_group_name_H-M 'P 1'
_symmetry_Int_Tables_number 1
_cell_length_a 4.762
_cell_length_b 4.762
_cell_length_c 3.709
_cell_angle_alpha 90.00
_cell_angle_beta 90.00
_cell_angle_gamma 90.00
loop_
_symmetry_equiv_pos_as_xyz
'x,y,z'
loop_
_atom_site_label
_atom_site_fract_x
_atom_site_fract_y
_atom_site_fract_z
S1 0.000 0.500 0.000
N1 0.000 0.000 0.500
Mo1 0.000 0.000 0.000
S2 0.500 0.000 0.000
Ir1 0.500 0.500 0.500



# 3
# MoIrS2N | Alexandria via LeMat-Bulk | PBE | relaxed
# Distance to the lowest polymorph of the same formula = 0 meV/atom
# DFT total energy = -6.473 eV per atom
# Calculated density = 7.11 Mg/m³
# Space group = No. 123
# Formation energy without anion corrections = 0.78 eV/atom
data_MoIrS2N
_symmetry_space_group_name_H-M 'P 1'
_symmetry_Int_Tables_number 1
_cell_length_a 4.849
_cell_length_b 4.849
_cell_length_c 3.639
_cell_angle_alpha 90.00
_cell_angle_beta 90.00
_cell_angle_gamma 90.00
loop_
_symmetry_equiv_pos_as_xyz
'x,y,z'
loop_
_atom_site_label
_atom_site_fract_x
_atom_site_fract_y
_atom_site_fract_z
Mo1 0.500 0.500 0.500
N1 0.000 0.000 0.500
Ir1 0.000 0.000 0.000
S1 0.500 0.000 0.000
S2 0.000 0.500 0.000



# 4
# TaMo2IrN | Alexandria via LeMat-Bulk | PBE | relaxed
# DFT total energy = -10.521 eV per atom
# Calculated density = 13.62 Mg/m³
# Space group = No. 123
# Formation energy without anion corrections = -0.38 eV/atom
data_TaMo2IrN
_symmetry_space_group_name_H-M 'P 1'
_symmetry_Int_Tables_number 1
_cell_length_a 4.094
_cell_length_b 4.094
_cell_length_c 4.214
_cell_angle_alpha 90.00
_cell_angle_beta 90.00
_cell_angle_gamma 90.00
loop_
_symmetry_equiv_pos_as_xyz
'x,y,z'
loop_
_atom_site_label
_atom_site_fract_x
_atom_site_fract_y
_atom_site_fract_z
N1 0.000 0.000 0.000
Ta1 0.000 0.000 0.500
Mo1 0.000 0.500 0.000
Ir1 0.500 0.500 0.500
Mo2 0.500 0.000 0.000



# 5
# TcMo2IrN | Alexandria via LeMat-Bulk | PBE | relaxed
# DFT total energy = -10.004 eV per atom
# Calculated density = 12.22 Mg/m³
# Space group = No. 123
# Formation energy without anion corrections = -0.16 eV/atom
data_TcMo2IrN
_symmetry_space_group_name_H-M 'P 1'
_symmetry_Int_Tables_number 1
_cell_length_a 4.098
_cell_length_b 4.098
_cell_length_c 4.015
_cell_angle_alpha 90.00
_cell_angle_beta 90.00
_cell_angle_gamma 90.00
loop_
_symmetry_equiv_pos_as_xyz
'x,y,z'
loop_
_atom_site_label
_atom_site_fract_x
_atom_site_fract_y
_atom_site_fract_z
Tc1 0.000 0.000 0.500
Ir1 0.500 0.500 0.500
Mo1 0.000 0.500 0.000
Mo2 0.500 0.000 0.000
N1 0.000 0.000 0.000



# 6
# Tc2MoIrN | Alexandria via LeMat-Bulk | PBE | relaxed
# DFT total energy = -9.849 eV per atom
# Calculated density = 12.48 Mg/m³
# Space group = No. 123
# Formation energy without anion corrections = -0.10 eV/atom
data_Tc2MoIrN
_symmetry_space_group_name_H-M 'P 1'
_symmetry_Int_Tables_number 1
_cell_length_a 4.023
_cell_length_b 4.023
_cell_length_c 4.095
_cell_angle_alpha 90.00
_cell_angle_beta 90.00
_cell_angle_gamma 90.00
loop_
_symmetry_equiv_pos_as_xyz
'x,y,z'
loop_
_atom_site_label
_atom_site_fract_x
_atom_site_fract_y
_atom_site_fract_z
Mo1 0.000 0.000 0.500
Tc1 0.000 0.500 0.000
Tc2 0.500 0.000 0.000
Ir1 0.500 0.500 0.500
N1 0.000 0.000 0.000